Material: CdNiPb
Method: DFT, PBE
State: optimized geometry

Summary:
Excess energy over the best structure of this formula in the dataset: 0.0 meV per atom
E_tot: -3.379 eV/atom
DFT formation energy: 0.0888 eV per atom

a b c (Å): 6.362 6.362 6.362
angles (deg): 90.00 90.00 90.00
Space group F-43m (No. 216)
Unique sites:
Cd (0.000, 0.000, 0.000) (multiplicity 4)
Ni (0.250, 0.250, 0.750) (multiplicity 4)
Pb (0.000, 0.000, 0.500) (multiplicity 4)